(1)
Below is a geometry-optimized K18Na46Tl31 structure, with properties calculated at the PBE level.

Cell lengths 11.307, 11.307, 30.230 Å; angles 90.00, 90.00, 120.00 degrees
Fractional coordinates of all 95 atoms:
Na1 0.334 0.167 0.097
Na2 0.833 0.666 0.097
Na3 0.166 0.834 0.750
Na4 0.846 0.691 0.441
Na5 0.678 0.839 0.367
Na6 0.333 0.667 0.790
Na7 0.171 0.341 0.867
Na8 0.334 0.167 0.903
Na9 0.846 0.154 0.559
Na10 0.161 0.322 0.633
Na11 0.166 0.333 0.750
Na12 0.846 0.691 0.559
Na13 0.022 0.511 0.942
Na14 0.489 0.511 0.942
Na15 0.499 0.998 0.403
Na16 0.489 0.978 0.058
Na17 0.161 0.839 0.633
Na18 0.833 0.666 0.903
Na19 0.166 0.333 0.250
Na20 0.000 0.000 0.709
Na21 0.333 0.667 0.210
Na22 0.171 0.341 0.133
Na23 0.171 0.829 0.133
Na24 0.161 0.839 0.367
Na25 0.309 0.154 0.559
Na26 0.022 0.511 0.058
Na27 0.846 0.154 0.441
Na28 0.667 0.834 0.750
Na29 0.659 0.829 0.133
Na30 0.309 0.154 0.441
Na31 0.166 0.834 0.250
Na32 0.171 0.829 0.867
Na33 0.678 0.839 0.633
Na34 0.002 0.501 0.597
Na35 0.659 0.829 0.867
Na36 0.833 0.167 0.903
Na37 0.489 0.978 0.942
Na38 0.161 0.322 0.367
Na39 0.499 0.501 0.597
Na40 0.489 0.511 0.058
Na41 0.000 0.000 0.291
Na42 0.002 0.501 0.403
Na43 0.667 0.834 0.250
Na44 0.833 0.167 0.097
Na45 0.499 0.998 0.597
Na46 0.499 0.501 0.403
Tl1 0.333 0.667 0.000
Tl2 0.000 0.000 0.598
Tl3 0.000 0.000 0.895
Tl4 0.000 0.000 0.105
Tl5 0.667 0.333 0.590
Tl6 0.333 0.667 0.102
Tl7 0.433 0.866 0.697
Tl8 0.667 0.333 0.909
Tl9 0.333 0.667 0.393
Tl10 0.134 0.567 0.303
Tl11 0.433 0.866 0.303
Tl12 0.764 0.236 0.000
Tl13 0.198 0.099 0.805
Tl14 0.433 0.567 0.697
Tl15 0.198 0.099 0.195
Tl16 0.901 0.099 0.195
Tl17 0.433 0.567 0.303
Tl18 0.667 0.333 0.091
Tl19 0.667 0.333 0.410
Tl20 0.901 0.802 0.195
Tl21 0.568 0.432 0.500
Tl22 0.000 0.000 0.402
Tl23 0.764 0.528 0.000
Tl24 0.863 0.432 0.500
Tl25 0.472 0.236 0.000
Tl26 0.568 0.137 0.500
Tl27 0.134 0.567 0.697
Tl28 0.333 0.667 0.607
Tl29 0.901 0.099 0.805
Tl30 0.901 0.802 0.805
Tl31 0.333 0.667 0.898
K1 0.930 0.465 0.190
K2 0.535 0.465 0.190
K3 0.535 0.465 0.810
K4 0.402 0.201 0.689
K5 0.799 0.598 0.689
K6 0.126 0.253 0.000
K7 0.799 0.201 0.689
K8 0.747 0.874 0.000
K9 0.207 0.414 0.500
K10 0.586 0.793 0.500
K11 0.402 0.201 0.311
K12 0.799 0.598 0.311
K13 0.535 0.070 0.810
K14 0.930 0.465 0.810
K15 0.207 0.793 0.500
K16 0.535 0.070 0.190
K17 0.126 0.874 0.000
K18 0.799 0.201 0.311

Properties
- spin magnetization (μB per formula unit) = 0.0
- SG = P-6m2 (187)
- volume (Å³ per atom) = 35.2
- theoretical density (Mg/m³) = 4.0
- energy of formation from the pure elements (eV/f.u.) = -10.54

---

(2)
Below is a geometry-optimized K3Na2Tl4 structure, with properties calculated at the PBE level.

Cell lengths 5.595, 7.122, 10.970 Å; angles 65.50, 74.13, 66.48 degrees
Fractional coordinates of all 9 atoms:
Tl1 0.265 0.391 0.080
Tl2 0.081 0.454 0.370
Tl3 0.919 0.546 0.630
Tl4 0.735 0.609 0.920
K1 0.000 0.000 0.000
K2 0.384 0.859 0.367
K3 0.616 0.141 0.633
Na1 0.306 0.639 0.756
Na2 0.694 0.361 0.244

Properties
- spin magnetization (μB per formula unit) = 0.0
- SG = P-1 (2)
- volume (Å³ per atom) = 40.2
- theoretical density (Mg/m³) = 4.5
- energy of formation from the pure elements (eV/f.u.) = -0.68

---

(3)
Below is a geometry-optimized K2Na2Tl structure, with properties calculated at the PBE level.

Cell lengths 8.488, 8.488, 6.165 Å; angles 90.00, 90.00, 90.00 degrees
Fractional coordinates of all 10 atoms:
Na1 0.645 0.145 0.000
Na2 0.855 0.645 0.000
Na3 0.145 0.355 0.000
Na4 0.355 0.855 0.000
Tl1 0.500 0.500 0.000
Tl2 0.000 0.000 0.000
K1 0.316 0.184 0.500
K2 0.816 0.316 0.500
K3 0.184 0.684 0.500
K4 0.684 0.816 0.500

Properties
- spin magnetization (μB per formula unit) = 0.0
- distance to the lowest polymorph of the same formula (meV per atom) = 20
- SG = P4/mbm (127)
- volume (Å³ per atom) = 44.4
- theoretical density (Mg/m³) = 2.5
- energy of formation from the pure elements (eV/f.u.) = 0.06

---

(4)
Below is a geometry-optimized K2NaTl9 structure, with properties calculated at the PBE level.

Cell lengths 6.644, 6.644, 11.510 Å; angles 73.23, 73.23, 60.00 degrees
Fractional coordinates of all 12 atoms:
Tl1 0.414 0.414 0.250
Tl2 0.500 0.500 0.500
Tl3 0.586 0.079 0.750
Tl4 0.414 0.921 0.250
Tl5 0.079 0.586 0.750
Tl6 0.335 0.335 0.996
Tl7 0.586 0.586 0.750
Tl8 0.921 0.414 0.250
Tl9 0.665 0.665 0.004
K1 0.141 0.141 0.578
K2 0.859 0.859 0.422
Na1 0.000 0.000 0.000

Properties
- spin magnetization (μB per formula unit) = 0.0
- SG = R-3m (166)
- volume (Å³ per atom) = 34.6
- theoretical density (Mg/m³) = 7.8
- energy of formation from the pure elements (eV/f.u.) = -0.43

---

(5)
Below is a geometry-optimized KNa10Tl3 structure, with properties calculated at the PBE level.

Cell lengths 11.514, 11.514, 11.514 Å; angles 60.00, 60.00, 60.00 degrees
Fractional coordinates of all 28 atoms:
Tl1 0.267 0.733 0.733
Tl2 0.267 0.267 0.733
Tl3 0.267 0.733 0.267
Tl4 0.733 0.267 0.267
Tl5 0.733 0.733 0.267
Tl6 0.733 0.267 0.733
Na1 0.386 0.386 0.386
Na2 0.660 0.000 0.340
Na3 0.159 0.614 0.614
Na4 0.386 0.841 0.386
Na5 0.000 0.000 0.660
Na6 0.614 0.614 0.159
Na7 0.614 0.159 0.614
Na8 0.000 0.340 0.660
Na9 0.660 0.000 0.000
Na10 0.340 0.660 0.000
Na11 0.000 0.340 0.000
Na12 0.000 0.660 0.340
Na13 0.841 0.386 0.386
Na14 0.340 0.000 0.000
Na15 0.340 0.000 0.660
Na16 0.614 0.614 0.614
Na17 0.000 0.660 0.000
Na18 0.660 0.340 0.000
Na19 0.386 0.386 0.841
Na20 0.000 0.000 0.340
K1 0.750 0.750 0.750
K2 0.250 0.250 0.250

Properties
- spin magnetization (μB per formula unit) = 0.0
- SG = Fm-3m (225)
- volume (Å³ per atom) = 38.5
- theoretical density (Mg/m³) = 2.7
- energy of formation from the pure elements (eV/f.u.) = -0.09

---

(6)
Below is a geometry-optimized K3NaTl structure, with properties calculated at the PBE level.

Cell lengths 4.824, 10.377, 11.041 Å; angles 92.31, 89.93, 103.24 degrees
Fractional coordinates of all 10 atoms:
Na1 0.434 0.903 0.279
Na2 0.608 0.250 0.142
K1 0.626 0.280 0.780
K2 0.776 0.585 0.403
K3 0.419 0.874 0.641
K4 0.960 0.952 0.987
K5 0.268 0.569 0.018
K6 0.084 0.202 0.434
Tl1 0.237 0.504 0.649
Tl2 0.809 0.650 0.772

Properties
- spin magnetization (μB per formula unit) = 0.0
- distance to the lowest polymorph of the same formula (meV per atom) = 6
- SG = P1 (1)
- volume (Å³ per atom) = 53.7
- theoretical density (Mg/m³) = 2.1
- energy of formation from the pure elements (eV/f.u.) = -0.11

---

(7)
Below is a geometry-optimized KNa2Tl4 structure, with properties calculated at the PBE level.

Cell lengths 5.403, 9.279, 9.279 Å; angles 90.00, 90.00, 90.00 degrees
Fractional coordinates of all 14 atoms:
Na1 0.500 0.284 0.284
Na2 0.500 0.716 0.716
Na3 0.000 0.784 0.216
Na4 0.000 0.216 0.784
Tl1 0.000 0.360 0.106
Tl2 0.000 0.106 0.360
Tl3 0.500 0.860 0.394
Tl4 0.500 0.394 0.860
Tl5 0.500 0.606 0.140
Tl6 0.000 0.640 0.894
Tl7 0.500 0.140 0.606
Tl8 0.000 0.894 0.640
K1 0.500 0.000 0.000
K2 0.000 0.500 0.500

Properties
- spin magnetization (μB per formula unit) = 0.0
- distance to the lowest polymorph of the same formula (meV per atom) = 14
- SG = P4_2/mnm (136)
- volume (Å³ per atom) = 33.2
- theoretical density (Mg/m³) = 6.4
- energy of formation from the pure elements (eV/f.u.) = -0.57

---

(8)
Below is a geometry-optimized KNa2Tl9 structure, with properties calculated at the PBE level.

Cell lengths 3.500, 11.066, 11.066 Å; angles 120.00, 90.00, 90.00 degrees
Fractional coordinates of all 12 atoms:
Tl1 0.000 0.500 0.000
Tl2 0.000 0.500 0.500
Tl3 0.000 0.000 0.500
Tl4 0.500 0.177 0.354
Tl5 0.500 0.823 0.646
Tl6 0.500 0.823 0.177
Tl7 0.500 0.354 0.177
Tl8 0.500 0.646 0.823
Tl9 0.500 0.177 0.823
Na1 0.000 0.333 0.667
Na2 0.000 0.667 0.333
K1 0.000 0.000 0.000

Properties
- spin magnetization (μB per formula unit) = 0.0
- distance to the lowest polymorph of the same formula (meV per atom) = 3
- SG = P6/mmm (191)
- volume (Å³ per atom) = 30.9
- theoretical density (Mg/m³) = 8.6
- energy of formation from the pure elements (eV/f.u.) = -0.63